{
  "formula": "NbOsRu",
  "functional": "PBE",
  "state": "relaxed",
  "crystal_system": "monoclinic",
  "e_above_lowest_polymorph_mev_per_atom": 172,
  "e_tot_ev_per_cell": -60.51,
  "e_form_kj_per_mol_fu": 31,
  "sg": "No. 12",
  "lattice": [[2.774, 0.000, 0.000], [-1.387, 4.740, 0.303], [0.000, -1.357, 7.212]],
  "species": ["Nb", "Ru", "Ru", "Os", "Nb", "Os"],
  "frac_coords": [[0.598, 0.196, 0.229], [0.345, 0.689, 0.412], [0.655, 0.311, 0.588], [0.149, 0.298, 0.901], [0.402, 0.804, 0.771], [0.851, 0.702, 0.099]]
}



{
  "formula": "NbOsRu",
  "functional": "PBE",
  "state": "relaxed",
  "crystal_system": "hexagonal",
  "e_above_lowest_polymorph_mev_per_atom": 0,
  "e_tot_ev_per_cell": -61.55,
  "e_form_kj_per_mol_fu": -19,
  "sg": "No. 194",
  "lattice": [[-2.738, 3.222, 1.286], [-1.370, -4.201, 0.016], [1.768, -0.557, 5.159]],
  "species": ["Os", "Os", "Ru", "Ru", "Nb", "Nb"],
  "frac_coords": [[0.000, 0.500, 0.000], [0.000, 0.500, 0.500], [0.333, 0.167, 0.750], [0.667, 0.833, 0.250], [0.333, 0.166, 0.250], [0.667, 0.834, 0.750]]
}



{
  "formula": "Nb5OsRu2",
  "functional": "PBE",
  "state": "relaxed",
  "crystal_system": "tetragonal",
  "e_tot_ev_per_cell": -82.07,
  "e_form_kj_per_mol_fu": -187,
  "sg": "No. 139",
  "lattice": [[-4.405, 1.813, 2.868], [-1.741, -2.461, -4.673], [2.854, -3.649, 3.077]],
  "species": ["Nb", "Nb", "Nb", "Os", "Ru", "Ru", "Nb", "Nb"],
  "frac_coords": [[0.778, 0.778, 0.500], [0.278, 0.278, 0.000], [0.778, 0.278, 0.000], [0.778, 0.778, 0.000], [0.778, 0.278, 0.500], [0.278, 0.778, 0.500], [0.278, 0.778, 0.000], [0.278, 0.278, 0.500]]
}